This record from Alexandria describes crystalline KNiN2 at its relaxed geometry. The functional is PBE-GGA.

a b c (Å): 4.056 4.056 4.056
angles (deg): 60.00 60.00 60.00
Element x y z (fractional)
Ni 0.500 0.500 0.500
K 0.000 0.000 0.000
N 0.250 0.250 0.250
N 0.750 0.750 0.750

Output
- Crystal system: cubic
- Energy relative to the lowest polymorph listed for this composition: 1313 meV/atom

=====

This record from Alexandria describes crystalline BiRu3F at its relaxed geometry. The functional is PBE-GGA.

a b c (Å): 4.332 4.332 4.332
angles (deg): 90.00 90.00 90.00
Element x y z (fractional)
Ru 0.000 0.500 0.000
Ru 0.000 0.000 0.500
Ru 0.500 0.000 0.000
Bi 0.500 0.500 0.500
F 0.000 0.000 0.000

Output
- Crystal system: cubic
- Energy relative to the lowest polymorph listed for this composition: 0 meV/atom

=====

This record from Alexandria describes crystalline ZrScTe at its relaxed geometry. The functional is PBE-GGA.

a b c (Å): 3.806 9.512 8.799
angles (deg): 96.13 102.49 90.00
Element x y z (fractional)
Zr 0.748 0.376 0.496
Zr 0.262 0.130 0.523
Zr 0.252 0.624 0.504
Zr 0.738 0.870 0.477
Sc 0.904 0.662 0.808
Sc 0.540 0.832 0.080
Sc 0.460 0.168 0.920
Sc 0.096 0.338 0.192
Te 0.620 0.583 0.241
Te 0.370 0.890 0.741
Te 0.380 0.417 0.759
Te 0.630 0.110 0.259

Output
- Crystal system: monoclinic
- Energy relative to the lowest polymorph listed for this composition: 286 meV/atom

=====

This record from Alexandria describes crystalline LiYRu2 at its relaxed geometry. The functional is PBE-GGA.

a b c (Å): 4.086 4.086 9.511
angles (deg): 77.60 77.60 90.00
Element x y z (fractional)
Y 0.000 0.000 0.000
Y 0.750 0.250 0.500
Ru 0.222 0.125 0.250
Ru 0.528 0.625 0.250
Ru 0.375 0.778 0.750
Ru 0.875 0.472 0.750
Li 0.500 0.500 0.000
Li 0.250 0.750 0.500

Output
- Crystal system: tetragonal
- Energy relative to the lowest polymorph listed for this composition: 257 meV/atom
- Energy of formation from the pure elements: 0.341 eV/atom

=====

This record from Alexandria describes crystalline Th2FeGe4Pt3 at its relaxed geometry. The functional is PBE-GGA.

a b c (Å): 4.201 4.201 10.617
angles (deg): 90.00 90.00 90.00
Element x y z (fractional)
Th 0.500 0.000 0.263
Th 0.000 0.500 0.737
Fe 0.500 0.500 0.500
Ge 0.500 0.500 0.000
Ge 0.000 0.000 0.000
Ge 0.500 0.000 0.627
Ge 0.000 0.500 0.373
Pt 0.000 0.000 0.500
Pt 0.500 0.000 0.861
Pt 0.000 0.500 0.139

Output
- Crystal system: tetragonal
- Energy of formation from the pure elements: -0.812 eV/atom

=====

This record from Alexandria describes crystalline AcY2NbO8 at its relaxed geometry. The functional is PBE-GGA.

a b c (Å): 5.094 5.099 7.240
angles (deg): 90.00 90.00 90.39
Element x y z (fractional)
Ac 0.000 0.000 0.500
Y 0.500 0.500 0.764
Y 0.500 0.500 0.236
Nb 0.000 0.000 0.000
O 0.188 0.811 0.205
O 0.715 0.717 0.000
O 0.812 0.189 0.205
O 0.812 0.189 0.795
O 0.285 0.283 0.000
O 0.188 0.811 0.795
O 0.672 0.673 0.500
O 0.328 0.327 0.500

Output
- Crystal system: orthorhombic
- Uncorrected energy: -8.35 eV/atom

=====

This record from Alexandria describes crystalline CaZn2Te at its relaxed geometry. The functional is PBE-GGA.

a b c (Å): 6.780 6.780 4.226
angles (deg): 71.54 71.54 126.93
Element x y z (fractional)
Zn 0.000 0.000 0.000
Zn 0.500 0.500 0.000
Te 0.000 0.500 0.500
Ca 0.500 0.000 0.500

Output
- Crystal system: monoclinic
- Uncorrected energy: -2.31 eV/atom

=====

This record from Alexandria describes crystalline MnIrSe2 at its relaxed geometry. The functional is PBE-GGA.

a b c (Å): 3.854 3.854 6.120
angles (deg): 71.76 71.76 59.83
Element x y z (fractional)
Ir 0.750 0.750 0.750
Mn 0.250 0.250 0.250
Se 0.007 0.007 0.979
Se 0.493 0.493 0.521

Output
- Crystal system: monoclinic
- Energy relative to the lowest polymorph listed for this composition: 268 meV/atom

=====

This record from Alexandria describes crystalline TmScZn6 at its relaxed geometry. The functional is PBE-GGA.

a b c (Å): 4.356 5.921 5.921
angles (deg): 113.92 90.00 90.00
Element x y z (fractional)
Tm 0.500 0.388 0.612
Sc 0.000 0.110 0.890
Zn 0.000 0.046 0.367
Zn 0.000 0.633 0.954
Zn 0.000 0.585 0.415
Zn 0.500 0.447 0.131
Zn 0.500 0.869 0.553
Zn 0.500 0.922 0.078

Output
- Crystal system: orthorhombic
- Energy of formation from the pure elements: -0.298 eV/atom

=====

This record from Alexandria describes crystalline Tb2SmZrAs4 at its relaxed geometry. The functional is PBE-GGA.

a b c (Å): 4.079 7.070 7.063
angles (deg): 109.28 90.00 90.00
Element x y z (fractional)
Tb 0.500 0.000 0.500
Tb 0.000 0.500 0.500
Sm 0.500 0.500 0.000
Zr 0.000 0.000 0.000
As 0.500 0.238 0.241
As 0.500 0.762 0.759
As 0.000 0.241 0.753
As 0.000 0.759 0.247

Output
- Crystal system: monoclinic
- Energy of formation from the pure elements: -1.422 eV/atom

=====

This record from Alexandria describes crystalline AcPmRuN3 at its relaxed geometry. The functional is PBE-GGA.

a b c (Å): 3.637 7.721 8.179
angles (deg): 100.37 90.00 90.00
Element x y z (fractional)
Ac 0.750 0.819 0.828
Ac 0.250 0.181 0.172
Pm 0.250 0.643 0.161
Pm 0.750 0.357 0.839
Ru 0.250 0.059 0.611
Ru 0.750 0.941 0.389
N 0.250 0.841 0.437
N 0.750 0.874 0.142
N 0.750 0.404 0.137
N 0.750 0.159 0.563
N 0.250 0.596 0.863
N 0.250 0.126 0.858

Output
- Crystal system: monoclinic
- Uncorrected energy: -7.88 eV/atom

=====

This record from Alexandria describes crystalline LaHgW at its relaxed geometry. The functional is PBE-GGA.

a b c (Å): 6.079 6.079 6.079
angles (deg): 145.29 145.29 49.91
Element x y z (fractional)
Hg 0.032 0.032 0.000
La 0.326 0.326 0.000
W 0.642 0.642 0.000

Output
- Crystal system: tetragonal
- Energy relative to the lowest polymorph listed for this composition: 96 meV/atom
- Energy of formation from the pure elements: 0.660 eV/atom